1.
Crystalline Ta2AgAs at its relaxed geometry. Source: Alexandria via LeMat-Bulk, functional PBE.

Cell lengths 4.670, 4.670, 4.670 Å; angles 60.00, 60.00, 60.00 degrees
Positions (direct):
Ta 0.000 0.000 0.000
Ta 0.250 0.250 0.250
Ag 0.500 0.500 0.500
As 0.750 0.750 0.750

Summary:
* E_tot: -7.21 eV/atom
* space-group type: F-43m
* total moment: 0.000 μB per cell
* formation energy: 57 kJ/mol of atoms
* density of states at the Fermi level: 0.815 states/eV per atom

=====

2.
Crystalline Ta2AgAs at its relaxed geometry. Source: Alexandria via LeMat-Bulk, functional PBE.

Cell lengths 9.884, 9.884, 9.884 Å; angles 17.25, 17.25, 17.25 degrees
Positions (direct):
Ta 0.000 0.000 0.000
Ta 0.247 0.247 0.247
Ag 0.750 0.750 0.750
As 0.507 0.507 0.507

Summary:
* E_tot: -7.64 eV/atom
* space-group type: R3m
* total moment: 0.001 μB per cell
* formation energy: 15 kJ/mol of atoms
* density of states at the Fermi level: 0.859 states/eV per atom

=====

3.
Crystalline Ta2AgAs at its relaxed geometry. Source: Alexandria via LeMat-Bulk, functional PBE.

Cell lengths 5.859, 5.859, 5.859 Å; angles 103.56, 103.56, 122.08 degrees
Positions (direct):
Ta 0.102 0.125 0.477
Ta 0.375 0.898 0.023
Ta 0.648 0.625 0.523
Ta 0.875 0.352 0.977
Ag 0.250 0.750 0.500
Ag 0.500 0.500 0.000
As 0.000 0.000 0.000
As 0.750 0.250 0.500

Summary:
* E_tot: -7.45 eV/atom
* space-group type: I-42d
* total moment: 0.000 μB per cell
* formation energy: 34 kJ/mol of atoms
* density of states at the Fermi level: 0.098 states/eV per atom

=====

4.
Crystalline TaAg2As2 at its relaxed geometry. Source: Alexandria via LeMat-Bulk, functional PBE.

Cell lengths 6.986, 6.986, 3.823 Å; angles 90.00, 90.00, 90.00 degrees
Positions (direct):
Ta 0.000 0.000 0.000
Ta 0.500 0.500 0.000
Ag 0.147 0.353 0.500
Ag 0.353 0.853 0.500
Ag 0.647 0.147 0.500
Ag 0.853 0.647 0.500
As 0.162 0.662 0.000
As 0.338 0.162 0.000
As 0.662 0.838 0.000
As 0.838 0.338 0.000

Summary:
* E_tot: -5.18 eV/atom
* space-group type: P4/mbm
* total moment: 0.000 μB per cell
* formation energy: 19 kJ/mol of atoms
* density of states at the Fermi level: 0.633 states/eV per atom

=====

5.
Crystalline TaAg3As at its relaxed geometry. Source: Alexandria via LeMat-Bulk, functional PBE.

Cell lengths 5.123, 5.123, 5.123 Å; angles 90.00, 90.00, 90.00 degrees
Positions (direct):
Ta 0.000 0.000 0.000
Ag 0.000 0.000 0.500
Ag 0.000 0.500 0.000
Ag 0.500 0.000 0.000
As 0.500 0.500 0.500

Summary:
* E_tot: -3.34 eV/atom
* space-group type: Pm-3m
* total moment: 0.000 μB per cell
* formation energy: 161 kJ/mol of atoms
* density of states at the Fermi level: 1.093 states/eV per atom
* distance to the lowest polymorph of the same formula: 0.434 eV per atom

=====

6.
Crystalline Ta2AgAs at its relaxed geometry. Source: Alexandria via LeMat-Bulk, functional PBE.

Cell lengths 5.245, 5.245, 2.873 Å; angles 98.65, 98.65, 112.91 degrees
Positions (direct):
Ta 0.000 0.500 0.000
Ta 0.500 0.000 0.000
Ag 0.000 0.000 0.500
As 0.500 0.500 0.500

Summary:
* E_tot: -7.57 eV/atom
* space-group type: C2/m
* total moment: 0.000 μB per cell
* formation energy: 23 kJ/mol of atoms
* density of states at the Fermi level: 0.650 states/eV per atom

=====

7.
Crystalline Ta2AgAs at its relaxed geometry. Source: Alexandria via LeMat-Bulk, functional PBE.

Cell lengths 5.245, 5.245, 5.245 Å; angles 135.46, 135.46, 64.81 degrees
Positions (direct):
Ta 0.000 0.000 0.000
Ta 0.750 0.250 0.500
Ag 0.250 0.750 0.500
As 0.500 0.500 0.000

Summary:
* E_tot: -7.53 eV/atom
* space-group type: I-4m2
* total moment: 0.000 μB per cell
* formation energy: 27 kJ/mol of atoms
* density of states at the Fermi level: 0.602 states/eV per atom

=====

8.
Crystalline Ta2AgAs at its relaxed geometry. Source: Alexandria via LeMat-Bulk, functional PBE.

Cell lengths 5.187, 2.815, 5.408 Å; angles 90.00, 115.50, 90.00 degrees
Positions (direct):
Ta 0.000 0.000 0.000
Ta 0.000 0.500 0.500
Ag 0.500 0.000 0.500
As 0.500 0.500 0.000

Summary:
* E_tot: -7.49 eV/atom
* space-group type: P2/m
* total moment: 0.000 μB per cell
* formation energy: 30 kJ/mol of atoms
* density of states at the Fermi level: 0.807 states/eV per atom

=====

- Look up the formation energy of the second one.
  15 kJ/mol of atoms

=====

- The lowest density of states at the Fermi level belongs to which entry?
  number 3

=====

- What is the total moment in the fourth record?
  0.000 μB per cell

=====

What did the sixth record say?
Crystalline Ta2AgAs at its relaxed geometry. Source: Alexandria via LeMat-Bulk, functional PBE.

Cell lengths 5.245, 5.245, 2.873 Å; angles 98.65, 98.65, 112.91 degrees
Positions (direct):
Ta 0.000 0.500 0.000
Ta 0.500 0.000 0.000
Ag 0.000 0.000 0.500
As 0.500 0.500 0.500

Summary:
* E_tot: -7.57 eV/atom
* space-group type: C2/m
* total moment: 0.000 μB per cell
* formation energy: 23 kJ/mol of atoms
* density of states at the Fermi level: 0.650 states/eV per atom